Record 1
DFT (PBE) results for TbErIn after structural relaxation.

Calculated values
- Excess energy over the best structure of this formula in the dataset: 0.000 eV/atom
- Space group: F-43m, No. 216
- Density: 7.52 Mg/m³

Cell lengths 5.164, 5.164, 5.164 Å; angles 60.00, 60.00, 60.00 degrees
Element x y z (fractional)
In1 0.000 0.000 0.000
Er1 0.250 0.250 0.250
Tb1 0.750 0.750 0.750

***

Record 2
DFT (PBE) results for ErZnInTe3 after structural relaxation.

Calculated values
- Excess energy over the best structure of this formula in the dataset: 0.002 eV/atom
- Space group: Cmcm, No. 63
- Density: 6.43 Mg/m³

Cell lengths 4.316, 7.934, 11.447 Å; angles 90.00, 90.00, 74.22 degrees
Element x y z (fractional)
Zn1 0.464 0.073 0.750
In1 0.757 0.487 0.750
In2 0.244 0.513 0.250
Te1 0.636 0.727 0.441
Te2 0.075 0.851 0.750
Te3 0.364 0.273 0.559
Te4 0.925 0.149 0.250
Te5 0.364 0.273 0.941
Zn2 0.536 0.927 0.250
Te6 0.636 0.727 0.059
Er1 0.000 0.000 0.000
Er2 0.000 0.000 0.500

***

Record 3
DFT (PBE) results for ErZnInTe3 after structural relaxation.

Calculated values
- Excess energy over the best structure of this formula in the dataset: 0.000 eV/atom
- Space group: Pnma, No. 62
- Density: 6.39 Mg/m³

Cell lengths 11.484, 4.318, 15.300 Å; angles 90.00, 90.00, 90.00 degrees
Element x y z (fractional)
Er1 0.519 0.250 0.256
Te1 0.581 0.750 0.390
In1 0.781 0.250 0.493
Er2 0.019 0.250 0.244
Te2 0.735 0.750 0.673
In2 0.219 0.750 0.507
Zn1 0.737 0.250 0.783
Te3 0.919 0.250 0.890
Te4 0.265 0.250 0.327
Zn2 0.263 0.750 0.217
Zn3 0.237 0.250 0.717
In3 0.719 0.750 0.993
Te5 0.542 0.250 0.879
In4 0.281 0.250 0.007
Te6 0.458 0.750 0.121
Te7 0.081 0.750 0.110
Te8 0.235 0.750 0.827
Zn4 0.763 0.750 0.283
Te9 0.042 0.250 0.621
Te10 0.419 0.250 0.610
Er3 0.981 0.750 0.756
Te11 0.958 0.750 0.379
Er4 0.481 0.750 0.744
Te12 0.765 0.250 0.173

***

Record 4
DFT (PBE) results for ErZnInTe3 after structural relaxation.

Calculated values
- Excess energy over the best structure of this formula in the dataset: 0.068 eV/atom
- Space group: Pnma, No. 62
- Density: 6.66 Mg/m³

Cell lengths 12.450, 4.472, 13.084 Å; angles 90.00, 90.00, 90.00 degrees
Element x y z (fractional)
Te1 0.465 0.000 0.352
Te2 0.035 0.500 0.852
Er1 0.024 0.000 0.686
Zn1 0.758 0.000 0.199
Te3 0.226 0.500 0.187
Te4 0.535 0.500 0.648
In1 0.685 0.000 0.508
Te5 0.726 0.500 0.313
Te6 0.965 0.000 0.148
In2 0.185 0.000 0.992
Er2 0.524 0.000 0.814
Zn2 0.258 0.000 0.301
Te7 0.774 0.000 0.813
In3 0.315 0.500 0.492
In4 0.815 0.500 0.008
Te8 0.905 0.500 0.565
Er3 0.476 0.500 0.186
Zn3 0.242 0.500 0.801
Te9 0.274 0.000 0.687
Te10 0.595 0.000 0.065
Er4 0.976 0.500 0.314
Te11 0.405 0.500 0.935
Te12 0.095 0.000 0.435
Zn4 0.742 0.500 0.699

***

Record 5
DFT (PBE) results for ErZnInTe3 after structural relaxation.

Calculated values
- Excess energy over the best structure of this formula in the dataset: 0.016 eV/atom
- Space group: Pnma, No. 62
- Density: 6.20 Mg/m³

Cell lengths 15.511, 4.334, 11.638 Å; angles 90.00, 90.00, 90.00 degrees
Element x y z (fractional)
In1 0.261 0.250 0.460
Te1 0.853 0.750 0.252
Er1 0.024 0.750 0.659
Er2 0.976 0.250 0.341
Te2 0.603 0.750 0.079
Te3 0.647 0.250 0.752
In2 0.739 0.750 0.540
Zn1 0.982 0.750 0.101
Zn2 0.018 0.250 0.899
Te4 0.089 0.250 0.116
In3 0.239 0.750 0.960
Te5 0.353 0.750 0.248
Te6 0.411 0.750 0.616
Er3 0.476 0.250 0.159
Zn3 0.518 0.250 0.601
Te7 0.397 0.250 0.921
Te8 0.589 0.250 0.384
Te9 0.897 0.250 0.579
Te10 0.147 0.250 0.748
Er4 0.524 0.750 0.841
Zn4 0.482 0.750 0.399
Te11 0.103 0.750 0.421
Te12 0.911 0.750 0.884
In4 0.761 0.250 0.040

***

Record 6
DFT (PBE) results for ErZnInTe3 after structural relaxation.

Calculated values
- Excess energy over the best structure of this formula in the dataset: 0.119 eV/atom
- Space group: C2/m, No. 12
- Density: 6.47 Mg/m³

Cell lengths 9.899, 9.899, 9.223 Å; angles 102.42, 102.42, 25.17 degrees
Element x y z (fractional)
In1 0.868 0.868 0.429
Te1 0.323 0.323 0.684
Er1 0.828 0.828 0.919
Te2 0.668 0.668 0.851
In2 0.132 0.132 0.571
Te3 0.000 0.000 0.000
Te4 0.677 0.677 0.316
Zn1 0.465 0.465 0.779
Er2 0.172 0.172 0.081
Zn2 0.535 0.535 0.221
Te5 0.332 0.332 0.149
Te6 0.500 0.500 0.500

***

Record 7
DFT (PBE) results for ErZnInTe3 after structural relaxation.

Calculated values
- Excess energy over the best structure of this formula in the dataset: 0.119 eV/atom
- Space group: Pnma, No. 62
- Density: 6.70 Mg/m³

Cell lengths 8.996, 4.593, 17.515 Å; angles 90.00, 90.00, 90.00 degrees
Element x y z (fractional)
Te1 0.875 0.250 0.447
Te2 0.125 0.750 0.553
Te3 0.307 0.750 0.789
Te4 0.807 0.750 0.711
Zn1 0.368 0.750 0.642
Te5 0.502 0.250 0.588
Er1 0.253 0.750 0.956
Te6 0.625 0.750 0.947
Er2 0.753 0.750 0.544
Te7 0.498 0.750 0.412
Te8 0.693 0.250 0.211
Zn2 0.868 0.750 0.858
Er3 0.247 0.250 0.456
Te9 0.375 0.250 0.053
Zn3 0.632 0.250 0.358
Te10 0.193 0.250 0.289
Te11 0.998 0.750 0.088
Te12 0.002 0.250 0.912
Er4 0.747 0.250 0.044
In1 0.075 0.250 0.716
Zn4 0.132 0.250 0.142
In2 0.575 0.250 0.784
In3 0.925 0.750 0.284
In4 0.425 0.750 0.216

***

Record 8
DFT (PBE) results for ErZnInTe3 after structural relaxation.

Calculated values
- Excess energy over the best structure of this formula in the dataset: 0.023 eV/atom
- Space group: P2_1/m, No. 11
- Density: 6.13 Mg/m³

Cell lengths 8.702, 4.329, 11.076 Å; angles 90.00, 108.59, 90.00 degrees
Element x y z (fractional)
Te1 0.444 0.750 0.656
In1 0.767 0.250 0.791
Zn1 0.579 0.250 0.111
Er1 0.809 0.750 0.356
Te2 0.941 0.750 0.645
Zn2 0.421 0.750 0.889
Er2 0.191 0.250 0.644
Te3 0.556 0.250 0.344
Te4 0.736 0.750 0.056
In2 0.233 0.750 0.209
Te5 0.059 0.250 0.355
Te6 0.264 0.250 0.944

***

Record 9
DFT (PBE) results for ErThIn after structural relaxation.

Calculated values
- Excess energy over the best structure of this formula in the dataset: 0.000 eV/atom
- Space group: F-43m, No. 216
- Density: 8.55 Mg/m³

Cell lengths 5.207, 5.207, 5.207 Å; angles 60.00, 60.00, 60.00 degrees
Element x y z (fractional)
In1 0.000 0.000 0.000
Er1 0.250 0.250 0.250
Th1 0.750 0.750 0.750

***

Record 10
DFT (PBE) results for Er2TlIn3 after structural relaxation.

Calculated values
- Excess energy over the best structure of this formula in the dataset: 0.000 eV/atom
- Space group: Cmmm, No. 65
- Density: 9.56 Mg/m³

Cell lengths 7.502, 7.502, 4.665 Å; angles 90.00, 90.00, 144.24 degrees
Element x y z (fractional)
Er1 0.656 0.344 0.000
In1 0.177 0.823 0.500
Er2 0.344 0.656 0.000
In2 0.500 0.500 0.500
Tl1 0.000 0.000 0.000
In3 0.823 0.177 0.500

***

Record 11
DFT (PBE) results for ErTlIn after structural relaxation.

Calculated values
- Excess energy over the best structure of this formula in the dataset: 0.280 eV/atom
- Space group: F-43m, No. 216
- Density: 9.23 Mg/m³

Cell lengths 4.984, 4.984, 4.984 Å; angles 60.00, 60.00, 60.00 degrees
Element x y z (fractional)
Tl1 0.000 0.000 0.000
In1 0.750 0.750 0.750
Er1 0.250 0.250 0.250

***

Record 12
DFT (PBE) results for ErTlIn after structural relaxation.

Calculated values
- Excess energy over the best structure of this formula in the dataset: 0.020 eV/atom
- Space group: Cmmm, No. 65
- Density: 10.42 Mg/m³

Cell lengths 7.616, 7.616, 4.602 Å; angles 90.00, 90.00, 144.51 degrees
Element x y z (fractional)
Er1 0.154 0.846 0.000
In1 0.000 0.000 0.500
Tl1 0.327 0.673 0.500
In2 0.500 0.500 0.000
Tl2 0.673 0.327 0.500
Er2 0.846 0.154 0.000

***

Record 13
DFT (PBE) results for Er2Tl3In after structural relaxation.

Calculated values
- Excess energy over the best structure of this formula in the dataset: 0.000 eV/atom
- Space group: Cmmm, No. 65
- Density: 11.27 Mg/m³

Cell lengths 7.635, 7.635, 4.634 Å; angles 90.00, 90.00, 144.60 degrees
Element x y z (fractional)
Er1 0.845 0.155 0.500
Er2 0.155 0.845 0.500
Tl1 0.500 0.500 0.500
Tl2 0.675 0.325 0.000
Tl3 0.325 0.675 0.000
In1 0.000 0.000 0.000

***

Record 14
DFT (PBE) results for Er5TlIn3 after structural relaxation.

Calculated values
- Total energy: -73.93 eV per cell
- Space group: P6_3/mcm, No. 193
- Density: 9.45 Mg/m³

Cell lengths 9.219, 9.219, 6.612 Å; angles 90.00, 90.00, 120.00 degrees
Element x y z (fractional)
Tl1 0.000 0.000 0.000
In1 0.372 0.372 0.750
Er1 0.667 0.333 0.000
In2 0.372 0.000 0.250
Tl2 0.000 0.000 0.500
Er2 0.333 0.667 0.500
In3 0.628 0.628 0.250
Er3 0.292 0.000 0.750
Er4 0.708 0.000 0.250
Er5 0.333 0.667 0.000
Er6 0.292 0.292 0.250
In4 0.000 0.628 0.750
In5 0.000 0.372 0.250
Er7 0.000 0.708 0.250
Er8 0.667 0.333 0.500
Er9 0.000 0.292 0.750
In6 0.628 0.000 0.750
Er10 0.708 0.708 0.750

***

Record 15
DFT (PBE) results for ErTlIn after structural relaxation.

Calculated values
- Excess energy over the best structure of this formula in the dataset: 0.000 eV/atom
- Space group: Cmmm, No. 65
- Density: 10.38 Mg/m³

Cell lengths 7.532, 7.532, 4.683 Å; angles 90.00, 90.00, 144.13 degrees
Element x y z (fractional)
Er1 0.156 0.844 0.000
In1 0.680 0.320 0.500
Er2 0.844 0.156 0.000
Tl1 0.500 0.500 0.000
In2 0.320 0.680 0.500
Tl2 0.000 0.000 0.500

***

Record 16
DFT (PBE) results for ErTm2In after structural relaxation.

Calculated values
- Total energy: -17.28 eV per cell
- Space group: P4/mmm, No. 123
- Density: 9.40 Mg/m³

Cell lengths 4.780, 4.780, 4.791 Å; angles 90.00, 90.00, 90.00 degrees
Element x y z (fractional)
Tm1 0.500 0.000 0.500
In1 0.500 0.500 0.000
Er1 0.000 0.000 0.000
Tm2 0.000 0.500 0.500

***

Record 17
DFT (PBE) results for ErTmIn after structural relaxation.

Calculated values
- Excess energy over the best structure of this formula in the dataset: 0.000 eV/atom
- Space group: P6_3/mmc, No. 194
- Density: 9.18 Mg/m³

Cell lengths 5.322, 5.322, 6.650 Å; angles 90.00, 90.00, 120.00 degrees
Element x y z (fractional)
Tm1 0.667 0.333 0.250
Er1 0.000 0.000 0.500
Tm2 0.333 0.667 0.750
Er2 0.000 0.000 0.000
In1 0.667 0.333 0.750
In2 0.333 0.667 0.250

***

Record 18
DFT (PBE) results for ErTmIn after structural relaxation.

Calculated values
- Excess energy over the best structure of this formula in the dataset: 0.264 eV/atom
- Space group: F-43m, No. 216
- Density: 7.90 Mg/m³

Cell lengths 5.118, 5.118, 5.118 Å; angles 60.00, 60.00, 60.00 degrees
Element x y z (fractional)
Tm1 0.750 0.750 0.750
Er1 0.250 0.250 0.250
In1 0.000 0.000 0.000

***

Record 19
DFT (PBE) results for ErTmIn after structural relaxation.

Calculated values
- Excess energy over the best structure of this formula in the dataset: 0.001 eV/atom
- Space group: P6_3/mmc, No. 194
- Density: 9.18 Mg/m³

Cell lengths 5.323, 5.323, 6.648 Å; angles 90.00, 90.00, 120.00 degrees
Element x y z (fractional)
In1 0.667 0.333 0.750
Tm1 0.000 0.000 0.000
Tm2 0.000 0.000 0.500
In2 0.333 0.667 0.250
Er1 0.333 0.667 0.750
Er2 0.667 0.333 0.250

***

Record 20
DFT (PBE) results for ErTmIn4 after structural relaxation.

Calculated values
- Total energy: -22.43 eV per cell
- Space group: Amm2, No. 38
- Density: 8.83 Mg/m³

Cell lengths 4.621, 7.430, 7.430 Å; angles 35.91, 90.00, 90.00 degrees
Element x y z (fractional)
In1 0.500 0.824 0.824
Tm1 0.000 0.344 0.344
In2 0.500 0.500 0.500
Er1 0.000 0.656 0.656
In3 0.500 0.176 0.176
In4 0.000 0.000 0.000

***

Record 21
DFT (PBE) results for ErUIn after structural relaxation.

Calculated values
- Excess energy over the best structure of this formula in the dataset: 0.000 eV/atom
- Space group: F-43m, No. 216
- Density: 9.38 Mg/m³

Cell lengths 5.068, 5.068, 5.068 Å; angles 60.00, 60.00, 60.00 degrees
Element x y z (fractional)
U1 0.000 0.000 0.000
Er1 0.500 0.500 0.500
In1 0.250 0.250 0.250

***

Record 22
DFT (PBE) results for ErInW after structural relaxation.

Calculated values
- Total energy: -16.30 eV per cell
- Space group: F-43m, No. 216
- Density: 9.55 Mg/m³

Cell lengths 4.857, 4.857, 4.857 Å; angles 60.00, 60.00, 60.00 degrees
Element x y z (fractional)
Er1 0.000 0.000 0.000
W1 0.750 0.750 0.750
In1 0.250 0.250 0.250

***

Record 23
DFT (PBE) results for Y2ErIn after structural relaxation.

Calculated values
- Total energy: -21.31 eV per cell
- Space group: P4/mmm, No. 123
- Density: 6.76 Mg/m³

Cell lengths 4.838, 4.838, 4.826 Å; angles 90.00, 90.00, 90.00 degrees
Element x y z (fractional)
In1 0.000 0.000 0.000
Y1 0.500 0.000 0.500
Er1 0.500 0.500 0.000
Y2 0.000 0.500 0.500